[1]
The following is a PBE calculation of crystalline HgBiOs2 at its relaxed geometry, from the Alexandria database.

Structure (POSCAR):
```
HgBiOs2
1.0
4.259 0.000 0.000
0.000 4.259 0.000
2.130 2.130 9.928
Hg Os Bi
2 4 2
Direct
0.500 0.500 0.000 Hg
0.250 0.750 0.500 Hg
0.875 0.760 0.750 Os
0.375 0.490 0.750 Os
0.510 0.125 0.250 Os
0.240 0.625 0.250 Os
0.000 0.000 0.000 Bi
0.750 0.250 0.500 Bi
```

As for the volume: 180.1 Å³/cell. The formation energy comes out at 1.11 eV/atom. As for the symmetry: I-42d (122).


[2]
The following is a PBE calculation of crystalline Hg3BiOs at its relaxed geometry, from the Alexandria database.

Structure (POSCAR):
```
Hg3BiOs
1.0
-2.286 4.094 2.363
-3.901 -0.152 -3.511
-2.669 -3.284 3.108
Hg Bi Os
3 1 1
Direct
0.000 0.500 0.000 Hg
0.500 0.000 0.000 Hg
0.000 0.000 0.500 Hg
0.500 0.500 0.500 Bi
0.000 0.000 0.000 Os
```

As for the volume: 144.8 Å³/cell. The formation energy comes out at 0.88 eV/atom. As for the symmetry: Pm-3m (221).


[3]
The following is a PBE calculation of crystalline Hg2BiOs at its relaxed geometry, from the Alexandria database.

Structure (POSCAR):
```
Hg2BiOs
1.0
-3.726 0.868 1.600
-1.713 -2.904 -2.415
-1.138 -8.301 7.227
Os Hg Bi
2 4 2
Direct
0.500 0.500 0.000 Os
0.250 0.750 0.500 Os
0.602 0.125 0.250 Hg
0.375 0.398 0.750 Hg
0.148 0.625 0.250 Hg
0.875 0.852 0.750 Hg
0.000 0.000 0.000 Bi
0.750 0.250 0.500 Bi
```

As for the volume: 183.5 Å³/cell. The formation energy comes out at 0.85 eV/atom. As for the symmetry: I-42d (122).


[4]
The following is a PBE calculation of crystalline HgBiOs2Pb at its relaxed geometry, from the Alexandria database.

Structure (POSCAR):
```
HgBiOs2Pb
1.0
-1.134 -2.786 -4.092
3.773 -4.308 1.888
-3.796 -2.205 2.553
Os Bi Hg Pb
2 1 1 1
Direct
0.500 0.000 0.000 Os
0.000 0.000 0.500 Os
0.000 0.000 0.000 Bi
0.500 0.500 0.500 Hg
0.000 0.500 0.000 Pb
```

As for the volume: 155.5 Å³/cell. The formation energy comes out at 2.14 eV/atom. As for the symmetry: P4/mmm (123).


[5]
The following is a PBE calculation of crystalline ReHgBiOs2 at its relaxed geometry, from the Alexandria database.

Structure (POSCAR):
```
ReHgBiOs2
1.0
4.933 0.000 0.000
0.000 5.253 0.000
0.000 0.000 4.933
Re Hg Bi Os
1 1 1 2
Direct
0.500 0.500 0.500 Re
0.000 0.000 0.000 Hg
0.000 0.500 0.000 Bi
0.500 0.000 0.000 Os
0.000 0.000 0.500 Os
```

As for the volume: 127.8 Å³/cell. The formation energy comes out at 3.21 eV/atom. As for the symmetry: P4/mmm (123).


[6]
The following is a PBE calculation of crystalline VHgBiOs2 at its relaxed geometry, from the Alexandria database.

Structure (POSCAR):
```
VHgBiOs2
1.0
-2.602 -3.343 -2.630
1.215 -3.514 3.266
-4.074 1.072 2.668
V Hg Os Bi
1 1 2 1
Direct
0.000 0.500 0.000 V
0.500 0.500 0.500 Hg
0.500 0.000 0.000 Os
0.000 0.000 0.500 Os
0.000 0.000 0.000 Bi
```

As for the volume: 123.1 Å³/cell. The formation energy comes out at 2.49 eV/atom. As for the symmetry: P4/mmm (123).